DFT (PBE) results for Li2Mg2CdHg2 after structural relaxation.

abc: 7.4496 7.4496 7.4496
angles: 37.75 37.75 37.75
With the nearest neighbours (Å) after each atom.
Fractional coordinates of all 7 atoms:
Li: 0.0670 0.0670 0.0670  1 Li 2.78, 3 Hg 2.91, 3 Mg 2.96
Li: 0.9330 0.9330 0.9330  1 Li 2.78, 3 Hg 2.91, 3 Mg 2.96
Mg: 0.2176 0.2176 0.2176  1 Hg 2.95, 4 Li 2.96-3.12, 3 Cd 2.98
Mg: 0.7824 0.7824 0.7824  1 Hg 2.95, 4 Li 2.96-3.12, 3 Cd 2.98
Cd: 0.5000 0.5000 0.5000  2 Hg 2.90, 6 Mg 2.98
Hg: 0.3599 0.3599 0.3599  1 Cd 2.90, 3 Li 2.91, 1 Mg 2.95, 3 Hg 2.99
Hg: 0.6401 0.6401 0.6401  1 Cd 2.90, 3 Li 2.91, 1 Mg 2.95, 3 Hg 2.99

Summary:
Calculated total energy   -1.431 eV/atom